[1]
The following is a DFT calculation (PBE) of a relaxed structure of YPd6Au8.

Values from the calculation:
ΔH_f (0 K) in eV per atom: -0.1449

Cell lengths 7.1064, 7.1064, 7.1064 Å; angles 67.12, 67.12, 67.12 degrees
Last column: nearest neighbours and their distance in Å.
Sites, in units of the cell vectors:
Y (0.0000, 0.0000, 0.0000)  6 Pd 2.81
Pd (0.0596, 0.3874, 0.7025)  7 Au 2.70-2.87, 1 Y 2.81, 1 Pd 2.97
Pd (0.2975, 0.9404, 0.6126)  7 Au 2.70-2.87, 1 Y 2.81, 1 Pd 2.97
Pd (0.3874, 0.7025, 0.0596)  7 Au 2.70-2.87, 1 Y 2.81, 1 Pd 2.97
Pd (0.6126, 0.2975, 0.9404)  7 Au 2.70-2.87, 1 Y 2.81, 1 Pd 2.97
Pd (0.7025, 0.0596, 0.3874)  7 Au 2.70-2.87, 1 Y 2.81, 1 Pd 2.97
Pd (0.9404, 0.6126, 0.2975)  7 Au 2.70-2.87, 1 Y 2.81, 1 Pd 2.97
Au (0.1135, 0.8000, 0.4439)  5 Pd 2.70-2.87, 1 Au 2.92
Au (0.2000, 0.5561, 0.8865)  5 Pd 2.70-2.87, 1 Au 2.92
Au (0.3215, 0.3215, 0.3215)  6 Pd 2.72
Au (0.4439, 0.1135, 0.8000)  5 Pd 2.70-2.87, 1 Au 2.92
Au (0.5561, 0.8865, 0.2000)  5 Pd 2.70-2.87, 1 Au 2.92
Au (0.6785, 0.6785, 0.6785)  6 Pd 2.72
Au (0.8000, 0.4439, 0.1135)  5 Pd 2.70-2.87, 1 Au 2.92
Au (0.8865, 0.2000, 0.5561)  5 Pd 2.70-2.87, 1 Au 2.92

[2]
The following is a DFT calculation (PBE) of a relaxed structure of YPd2Au.

Values from the calculation:
ΔH_f (0 K) in eV per atom: -0.7304

Cell lengths 4.7342, 4.7342, 4.7342 Å; angles 60.00, 60.00, 60.00 degrees
Last column: nearest neighbours and their distance in Å.
Sites, in units of the cell vectors:
Y (0.0000, 0.0000, 0.0000)  8 Pd 2.90
Pd (0.2500, 0.2500, 0.2500)  4 Au 2.90, 4 Y 2.90
Pd (0.7500, 0.7500, 0.7500)  4 Au 2.90, 4 Y 2.90
Au (0.5000, 0.5000, 0.5000)  8 Pd 2.90

[3]
The following is a DFT calculation (PBE) of a relaxed structure of YPd3Au.

Values from the calculation:
ΔH_f (0 K) in eV per atom: -0.5494

Cell lengths 4.5102, 6.0185, 7.0038 Å; angles 90.00, 90.00, 90.00 degrees
Last column: nearest neighbours and their distance in Å.
Sites, in units of the cell vectors:
Y (0.2500, 0.2500, 0.2086)  8 Pd 2.84-3.17
Y (0.7500, 0.7500, 0.7914)  8 Pd 2.84-3.17
Pd (0.2500, 0.0324, 0.7538)  4 Pd 2.62-2.89, 1 Au 2.73, 2 Y 2.84
Pd (0.2500, 0.4676, 0.7538)  4 Pd 2.62-2.89, 1 Au 2.73, 2 Y 2.84
Pd (0.2500, 0.7500, 0.0671)  1 Au 2.67, 6 Pd 2.78-2.89, 2 Y 2.97
Pd (0.7500, 0.2500, 0.9329)  1 Au 2.67, 6 Pd 2.78-2.89, 2 Y 2.97
Pd (0.7500, 0.5324, 0.2462)  4 Pd 2.62-2.89, 1 Au 2.73, 2 Y 2.84
Pd (0.7500, 0.9676, 0.2462)  4 Pd 2.62-2.89, 1 Au 2.73, 2 Y 2.84
Au (0.2500, 0.7500, 0.4482)  7 Pd 2.67-2.97
Au (0.7500, 0.2500, 0.5518)  7 Pd 2.67-2.97

[4]
The following is a DFT calculation (PBE) of a relaxed structure of YPd6Au3.

Values from the calculation:
ΔH_f (0 K) in eV per atom: -0.3263

Cell lengths 8.6452, 4.3070, 9.3208 Å; angles 90.00, 95.81, 90.00 degrees
Last column: nearest neighbours and their distance in Å.
Sites, in units of the cell vectors:
Y (0.0665, 0.2500, 0.3754)  10 Pd 2.75-3.07
Y (0.9335, 0.7500, 0.6246)  10 Pd 2.75-3.07
Pd (0.0511, 0.7500, 0.9118)  1 Y 2.76, 4 Au 2.78-2.86, 7 Pd 2.80-3.08
Pd (0.1494, 0.2500, 0.7033)  4 Au 2.84-2.91, 3 Y 2.89-3.07, 5 Pd 2.90-3.08
Pd (0.1609, 0.7500, 0.2053)  8 Pd 2.80-2.96, 2 Y 2.84, 2 Au 2.97
Pd (0.2504, 0.7500, 0.5108)  4 Au 2.82-2.90, 5 Pd 2.87-3.14, 3 Y 2.89-3.04
Pd (0.3671, 0.2500, 0.3016)  1 Y 2.75, 5 Au 2.78-2.82, 4 Pd 2.88-2.99
Pd (0.4548, 0.7500, 0.1023)  7 Au 2.80-2.85, 5 Pd 2.81-3.03
Pd (0.5452, 0.2500, 0.8977)  7 Au 2.80-2.85, 5 Pd 2.81-3.03
Pd (0.6329, 0.7500, 0.6984)  1 Y 2.75, 5 Au 2.78-2.82, 4 Pd 2.88-2.99
Pd (0.7496, 0.2500, 0.4892)  4 Au 2.82-2.90, 5 Pd 2.87-3.14, 3 Y 2.89-3.04
Pd (0.8391, 0.2500, 0.7947)  8 Pd 2.80-2.96, 2 Y 2.84, 2 Au 2.97
Pd (0.8506, 0.7500, 0.2967)  4 Au 2.84-2.91, 3 Y 2.89-3.07, 5 Pd 2.90-3.08
Pd (0.9489, 0.2500, 0.0882)  1 Y 2.76, 4 Au 2.78-2.86, 7 Pd 2.80-3.08
Au (0.2518, 0.2500, 0.0103)  10 Pd 2.79-2.97, 2 Au 3.00
Au (0.3421, 0.7500, 0.8102)  8 Pd 2.78-2.85, 4 Au 3.00-3.11
Au (0.4484, 0.2500, 0.6009)  8 Pd 2.78-2.90, 4 Au 3.05-3.11
Au (0.5516, 0.7500, 0.3991)  8 Pd 2.78-2.90, 4 Au 3.05-3.11
Au (0.6579, 0.2500, 0.1898)  8 Pd 2.78-2.85, 4 Au 3.00-3.11
Au (0.7482, 0.7500, 0.9897)  10 Pd 2.79-2.97, 2 Au 3.00

[5]
The following is a DFT calculation (PBE) of a relaxed structure of Y2Pd9Au.

Values from the calculation:
ΔH_f (0 K) in eV per atom: -0.5689

Cell lengths 4.0802, 4.0802, 12.3523 Å; angles 90.00, 90.00, 90.00 degrees
Last column: nearest neighbours and their distance in Å.
Sites, in units of the cell vectors:
Y (0.0000, 0.0000, 0.1712)  12 Pd 2.89-2.94
Y (0.0000, 0.0000, 0.8288)  12 Pd 2.89-2.94
Pd (0.0000, 0.5000, 0.0000)  8 Pd 2.89-2.91, 4 Y 2.94
Pd (0.0000, 0.5000, 0.3389)  2 Au 2.85, 8 Pd 2.85-2.93, 2 Y 2.91
Pd (0.0000, 0.5000, 0.6611)  8 Pd 2.85-2.93, 2 Au 2.85, 2 Y 2.91
Pd (0.5000, 0.0000, 0.0000)  8 Pd 2.89-2.91, 4 Y 2.94
Pd (0.5000, 0.0000, 0.3389)  2 Au 2.85, 8 Pd 2.85-2.93, 2 Y 2.91
Pd (0.5000, 0.0000, 0.6611)  8 Pd 2.85-2.93, 2 Au 2.85, 2 Y 2.91
Pd (0.5000, 0.5000, 0.1685)  4 Y 2.89, 8 Pd 2.91-2.93
Pd (0.5000, 0.5000, 0.5000)  8 Pd 2.85, 4 Au 2.89
Pd (0.5000, 0.5000, 0.8315)  4 Y 2.89, 8 Pd 2.91-2.93
Au (0.0000, 0.0000, 0.5000)  12 Pd 2.85-2.89

[6]
The following is a DFT calculation (PBE) of a relaxed structure of Y3Pd7Au2.

Values from the calculation:
ΔH_f (0 K) in eV per atom: -0.7088

Cell lengths 13.0484, 13.0484, 4.2640 Å; angles 90.00, 90.00, 161.06 degrees
Last column: nearest neighbours and their distance in Å.
Sites, in units of the cell vectors:
Y (0.0000, 0.0000, 0.0000)  12 Pd 2.92-3.03
Y (0.1570, 0.8430, 0.0000)  6 Pd 2.75-2.97, 4 Au 3.03
Y (0.8430, 0.1570, 0.0000)  6 Pd 2.75-2.97, 4 Au 3.03
Pd (0.0777, 0.9223, 0.5000)  2 Au 2.90, 4 Y 2.92-2.95, 6 Pd 2.93-3.03
Pd (0.2245, 0.7755, 0.5000)  2 Pd 2.52, 2 Y 2.75
Pd (0.4227, 0.5773, 0.0000)  2 Au 2.89, 6 Pd 2.92-3.03, 4 Y 2.93-2.97
Pd (0.5000, 0.5000, 0.5000)  8 Pd 2.92-2.93, 4 Y 3.03
Pd (0.5773, 0.4227, 0.0000)  2 Au 2.89, 6 Pd 2.92-3.03, 4 Y 2.93-2.97
Pd (0.7755, 0.2245, 0.5000)  2 Pd 2.52, 2 Y 2.75
Pd (0.9223, 0.0777, 0.5000)  2 Au 2.90, 4 Y 2.92-2.95, 6 Pd 2.93-3.03
Au (0.3466, 0.6534, 0.5000)  7 Pd 2.82-3.14, 4 Y 3.03
Au (0.6534, 0.3466, 0.5000)  7 Pd 2.82-3.14, 4 Y 3.03

[7]
The following is a DFT calculation (PBE) of a relaxed structure of YPdAu4.

Values from the calculation:
ΔH_f (0 K) in eV per atom: -0.4347

Cell lengths 3.5667, 3.7110, 8.7338 Å; angles 90.00, 90.00, 90.00 degrees
Last column: nearest neighbours and their distance in Å.
Sites, in units of the cell vectors:
Y (0.0000, 0.0000, 0.0000)  10 Au 2.97-3.02
Pd (0.5000, 0.5000, 0.5000)  10 Au 2.79-2.93
Au (0.0000, 0.0000, 0.3402)  5 Au 2.79-2.93, 4 Pd 2.93, 1 Y 2.97
Au (0.0000, 0.0000, 0.6598)  5 Au 2.79-2.93, 4 Pd 2.93, 1 Y 2.97
Au (0.5000, 0.5000, 0.1802)  1 Pd 2.79, 4 Au 2.93, 4 Y 3.02
Au (0.5000, 0.5000, 0.8198)  1 Pd 2.79, 4 Au 2.93, 4 Y 3.02

[8]
The following is a DFT calculation (PBE) of a relaxed structure of YPd4Au2.

Values from the calculation:
ΔH_f (0 K) in eV per atom: -0.4128

Cell lengths 6.8076, 7.0158, 7.1586 Å; angles 117.95, 92.73, 115.87 degrees
Last column: nearest neighbours and their distance in Å.
Sites, in units of the cell vectors:
Y (0.0000, 0.0000, 0.0000)  8 Pd 2.75-2.97, 1 Au 3.07
Y (0.1400, 0.5289, 0.9288)  6 Pd 2.76-3.03, 3 Au 2.99-3.09
Pd (0.0586, 0.2933, 0.4697)  3 Au 2.77-3.03, 2 Y 2.79-2.89, 5 Pd 2.83-2.98
Pd (0.1995, 0.1094, 0.6953)  5 Pd 2.68-2.95, 4 Au 2.71-2.95, 2 Y 2.85
Pd (0.3753, 0.9168, 0.8643)  4 Pd 2.66-2.97, 2 Y 2.76-2.97, 1 Au 2.77
Pd (0.4707, 0.4350, 0.1728)  3 Au 2.76-2.83, 5 Pd 2.81-2.97, 1 Y 2.94
Pd (0.6116, 0.8771, 0.1747)  5 Pd 2.73-2.87, 3 Au 2.74-3.03, 2 Y 2.82-2.94
Pd (0.8054, 0.2926, 0.1183)  6 Pd 2.66-2.98, 2 Y 2.75-2.98, 1 Au 2.85
Pd (0.8597, 0.5949, 0.5592)  4 Pd 2.74-2.92, 4 Au 2.76-3.00, 1 Y 2.81
Pd (0.9403, 0.7812, 0.2652)  6 Pd 2.68-2.92, 3 Au 2.76-2.85, 1 Y 2.90
Au (0.2618, 0.6873, 0.4056)  7 Pd 2.76-2.95, 1 Au 2.79, 1 Y 2.99
Au (0.4026, 0.1469, 0.3560)  7 Pd 2.74-3.06, 1 Au 2.91
Au (0.6558, 0.4459, 0.8292)  4 Pd 2.71-2.83, 1 Au 2.91
Au (0.7348, 0.9767, 0.6215)  1 Au 2.79, 7 Pd 2.82-3.06, 2 Y 3.08-3.09

[9]
The following is a DFT calculation (PBE) of a relaxed structure of Y5Pd4Au.

Values from the calculation:
ΔH_f (0 K) in eV per atom: -0.8671

Cell lengths 3.5228, 3.5228, 17.8426 Å; angles 90.00, 90.00, 90.00 degrees
Last column: nearest neighbours and their distance in Å.
Sites, in units of the cell vectors:
Y (0.0000, 0.0000, 0.0000)  8 Pd 3.05
Y (0.0000, 0.0000, 0.1980)  8 Pd 3.05
Y (0.0000, 0.0000, 0.3965)  4 Pd 3.06, 4 Au 3.10
Y (0.0000, 0.0000, 0.6035)  4 Pd 3.06, 4 Au 3.10
Y (0.0000, 0.0000, 0.8020)  8 Pd 3.05
Pd (0.5000, 0.5000, 0.0988)  8 Y 3.05
Pd (0.5000, 0.5000, 0.2971)  8 Y 3.05-3.06
Pd (0.5000, 0.5000, 0.7029)  8 Y 3.05-3.06
Pd (0.5000, 0.5000, 0.9012)  8 Y 3.05
Au (0.5000, 0.5000, 0.5000)  8 Y 3.10

[10]
The following is a DFT calculation (PBE) of a relaxed structure of Y2Pd7Au2.

Values from the calculation:
ΔH_f (0 K) in eV per atom: -0.5216

Cell lengths 6.5572, 6.5572, 5.3328 Å; angles 109.13, 109.13, 89.51 degrees
Last column: nearest neighbours and their distance in Å.
Sites, in units of the cell vectors:
Y (0.2173, 0.7827, 0.0000)  4 Pd 2.77-2.89
Y (0.7827, 0.2173, 0.0000)  4 Pd 2.77-2.89
Pd (0.0000, 0.0000, 0.5000)  4 Pd 2.66, 2 Au 2.82
Pd (0.0733, 0.5856, 0.3327)  4 Pd 2.66-2.84, 2 Au 2.76-2.85, 2 Y 2.77-2.89
Pd (0.3669, 0.3669, 0.6131)  4 Pd 2.73-3.00, 3 Au 2.74-2.97
Pd (0.4144, 0.9267, 0.6673)  4 Pd 2.66-2.84, 2 Au 2.76-2.85, 2 Y 2.77-2.89
Pd (0.5856, 0.0733, 0.3327)  4 Pd 2.66-2.84, 2 Au 2.76-2.85, 2 Y 2.77-2.89
Pd (0.6331, 0.6331, 0.3869)  4 Pd 2.73-3.00, 3 Au 2.74-2.97
Pd (0.9267, 0.4144, 0.6673)  4 Pd 2.66-2.84, 2 Au 2.76-2.85, 2 Y 2.77-2.89
Au (0.2760, 0.2760, 0.0349)  8 Pd 2.74-2.97
Au (0.7240, 0.7240, 0.9651)  8 Pd 2.74-2.97

Number 1: electronic total energy -4.401 eV per atom. Number 2: electronic total energy -5.762 eV per atom. Number 3: electronic total energy -5.613 eV per atom. Number 4: electronic total energy -5.072 eV per atom. Number 5: electronic total energy -5.814 eV per atom. Number 6: electronic total energy -5.900 eV per atom. Number 7: electronic total energy -4.562 eV per atom. Number 8: electronic total energy -5.240 eV per atom. Number 9: electronic total energy -6.504 eV per atom. Number 10: electronic total energy -5.597 eV per atom.